1.
# CrInBr, relaxed, DFT PBEsol
# * M_tot: 19.53 μB per cell
# * crystal system: cubic
data_CrInBr
_cell_length_a 6.889
_cell_length_b 6.889
_cell_length_c 6.889
_cell_angle_alpha 90.00
_cell_angle_beta 90.00
_cell_angle_gamma 90.00
_symmetry_space_group_name_H-M 'F -4 3 m'
_symmetry_Int_Tables_number 216
_symmetry_space_group_name_Hall 'F -4 2 3'
loop_
_atom_site_label
_atom_site_fract_x
_atom_site_fract_y
_atom_site_fract_z
Cr1 0.000 0.000 0.000
In1 0.000 0.000 0.500
Br1 0.250 0.250 0.250



2.
# CrIn4Br, relaxed, DFT PBEsol
# * M_tot: 18.02 μB per cell
# * crystal system: cubic
data_CrIn4Br
_cell_length_a 8.485
_cell_length_b 8.485
_cell_length_c 8.485
_cell_angle_alpha 90.00
_cell_angle_beta 90.00
_cell_angle_gamma 90.00
_symmetry_space_group_name_H-M 'F -4 3 m'
_symmetry_Int_Tables_number 216
_symmetry_space_group_name_Hall 'F -4 2 3'
loop_
_atom_site_label
_atom_site_fract_x
_atom_site_fract_y
_atom_site_fract_z
Cr1 0.000 0.000 0.000
In1 0.125 0.125 0.625
Br1 0.250 0.250 0.250



3.
# CrIn2Br, relaxed, DFT PBEsol
# * M_tot: 9.41 μB per cell
# * crystal system: tetragonal
# * ΔE to the lowest computed polymorph: 0.84 eV per formula unit
data_CrIn2Br
_cell_length_a 4.241
_cell_length_b 4.241
_cell_length_c 10.439
_cell_angle_alpha 90.00
_cell_angle_beta 90.00
_cell_angle_gamma 90.00
_symmetry_space_group_name_H-M 'I 4/m m m'
_symmetry_Int_Tables_number 139
_symmetry_space_group_name_Hall '-I 4 2'
loop_
_atom_site_label
_atom_site_fract_x
_atom_site_fract_y
_atom_site_fract_z
Cr1 0.000 0.000 0.000
In1 0.000 0.500 0.250
Br1 0.000 0.000 0.500



4.
# CrIn2Br, relaxed, DFT PBEsol
# * M_tot: 7.07 μB per cell
# * crystal system: orthorhombic
# * ΔE to the lowest computed polymorph: 0.00 eV per formula unit
data_CrIn2Br
_cell_length_a 3.235
_cell_length_b 3.394
_cell_length_c 17.292
_cell_angle_alpha 90.00
_cell_angle_beta 90.00
_cell_angle_gamma 90.00
_symmetry_space_group_name_H-M 'A m m 2'
_symmetry_Int_Tables_number 38
loop_
_symmetry_equiv_pos_as_xyz
'x,y,z'
'-x,-y,z'
'-x,y,z'
'x,-y,z'
'x,y+1/2,z+1/2'
'-x,-y+1/2,z+1/2'
'-x,y+1/2,z+1/2'
'x,-y+1/2,z+1/2'
loop_
_atom_site_label
_atom_site_fract_x
_atom_site_fract_y
_atom_site_fract_z
Cr1 0.000 0.000 0.000
In1 0.000 0.000 0.231
In2 0.500 0.000 0.596
Br1 0.500 0.000 0.893



5.
# CrIn2Br, relaxed, DFT PBEsol
# * M_tot: 4.18 μB per cell
# * crystal system: tetragonal
# * ΔE to the lowest computed polymorph: 0.13 eV per formula unit
data_CrIn2Br
_cell_length_a 3.294
_cell_length_b 3.294
_cell_length_c 8.460
_cell_angle_alpha 90.00
_cell_angle_beta 90.00
_cell_angle_gamma 90.00
_symmetry_space_group_name_H-M 'P 4 m m'
_symmetry_Int_Tables_number 99
loop_
_symmetry_equiv_pos_as_xyz
'x,y,z'
'-y,x,z'
'-x,-y,z'
'y,-x,z'
'-x,y,z'
'y,x,z'
'x,-y,z'
'-y,-x,z'
loop_
_atom_site_label
_atom_site_fract_x
_atom_site_fract_y
_atom_site_fract_z
Cr1 0.000 0.000 0.000
In1 0.000 0.000 0.488
In2 0.500 0.500 0.214
Br1 0.500 0.500 0.817



6.
# CrInBr3, relaxed, DFT PBEsol
# * M_tot: 4.00 μB per cell
# * crystal system: cubic
data_CrInBr3
_cell_length_a 5.120
_cell_length_b 5.120
_cell_length_c 5.120
_cell_angle_alpha 90.00
_cell_angle_beta 90.00
_cell_angle_gamma 90.00
_symmetry_space_group_name_H-M 'P m -3 m'
_symmetry_Int_Tables_number 221
_symmetry_space_group_name_Hall '-P 4 2 3'
loop_
_atom_site_label
_atom_site_fract_x
_atom_site_fract_y
_atom_site_fract_z
Cr1 0.000 0.000 0.000
In1 0.500 0.500 0.500
Br1 0.000 0.000 0.500



7.
# NaCr2InBr, relaxed, DFT PBEsol
# * M_tot: 10.24 μB per cell
# * crystal system: tetragonal
data_NaCr2InBr
_cell_length_a 5.149
_cell_length_b 5.149
_cell_length_c 5.559
_cell_angle_alpha 90.00
_cell_angle_beta 90.00
_cell_angle_gamma 90.00
_symmetry_space_group_name_H-M 'P 4/m m m'
_symmetry_Int_Tables_number 123
_symmetry_space_group_name_Hall '-P 4 2'
loop_
_atom_site_label
_atom_site_fract_x
_atom_site_fract_y
_atom_site_fract_z
Na1 0.000 0.000 0.000
Cr1 0.000 0.500 0.000
In1 0.000 0.000 0.500
Br1 0.500 0.500 0.500



8.
# CrIrBr3, relaxed, DFT PBEsol
# * M_tot: 4.66 μB per cell
# * crystal system: cubic
data_CrIrBr3
_cell_length_a 4.999
_cell_length_b 4.999
_cell_length_c 4.999
_cell_angle_alpha 90.00
_cell_angle_beta 90.00
_cell_angle_gamma 90.00
_symmetry_space_group_name_H-M 'P m -3 m'
_symmetry_Int_Tables_number 221
_symmetry_space_group_name_Hall '-P 4 2 3'
loop_
_atom_site_label
_atom_site_fract_x
_atom_site_fract_y
_atom_site_fract_z
Cr1 0.000 0.000 0.000
Ir1 0.500 0.500 0.500
Br1 0.000 0.500 0.500



9.
# CrIrBr, relaxed, DFT PBEsol
# * M_tot: 2.80 μB per cell
# * crystal system: trigonal
data_CrIrBr
_cell_length_a 4.1953
_cell_length_b 4.1953
_cell_length_c 3.0806
_cell_angle_alpha 90.00
_cell_angle_beta 90.00
_cell_angle_gamma 120.00
_symmetry_space_group_name_H-M 'P 3 m 1'
_symmetry_Int_Tables_number 156
loop_
_symmetry_equiv_pos_as_xyz
'x,y,z'
'-y,x-y,z'
'-x+y,-x,z'
'-y,-x,z'
'-x+y,y,z'
'x,x-y,z'
loop_
_atom_site_label
_atom_site_fract_x
_atom_site_fract_y
_atom_site_fract_z
Cr1 0.0000 0.0000 0.0000
Ir1 0.3333 0.6667 0.3739
Br1 0.6667 0.3333 0.6851



10.
# Cr2IrBr, relaxed, DFT PBEsol
# * M_tot: 0.02 μB per cell
# * crystal system: cubic
# * ΔE to the lowest computed polymorph: 1.18 eV per formula unit
data_Cr2IrBr
_cell_length_a 5.994
_cell_length_b 5.994
_cell_length_c 5.994
_cell_angle_alpha 90.00
_cell_angle_beta 90.00
_cell_angle_gamma 90.00
_symmetry_space_group_name_H-M 'F m -3 m'
_symmetry_Int_Tables_number 225
_symmetry_space_group_name_Hall '-F 4 2 3'
loop_
_atom_site_label
_atom_site_fract_x
_atom_site_fract_y
_atom_site_fract_z
Cr1 0.250 0.250 0.250
Ir1 0.000 0.000 0.000
Br1 0.000 0.000 0.500



11.
# Cr2IrBr, relaxed, DFT PBEsol
# * M_tot: 1.33 μB per cell
# * crystal system: orthorhombic
# * ΔE to the lowest computed polymorph: 0.00 eV per formula unit
data_Cr2IrBr
_cell_length_a 2.999
_cell_length_b 3.083
_cell_length_c 6.788
_cell_angle_alpha 90.00
_cell_angle_beta 90.00
_cell_angle_gamma 90.00
_symmetry_space_group_name_H-M 'P m m 2'
_symmetry_Int_Tables_number 25
loop_
_symmetry_equiv_pos_as_xyz
'x,y,z'
'-x,-y,z'
'-x,y,z'
'x,-y,z'
loop_
_atom_site_label
_atom_site_fract_x
_atom_site_fract_y
_atom_site_fract_z
Cr1 0.000 0.000 0.000
Cr2 0.500 0.500 0.217
Ir1 0.000 0.000 0.396
Br1 0.500 0.500 0.757



12.
# Cr3IrBr, relaxed, DFT PBEsol
# * M_tot: 1.86 μB per cell
# * crystal system: cubic
# * ΔE to the lowest computed polymorph: 1.83 eV per formula unit
data_Cr3IrBr
_cell_length_a 4.220
_cell_length_b 4.220
_cell_length_c 4.220
_cell_angle_alpha 90.00
_cell_angle_beta 90.00
_cell_angle_gamma 90.00
_symmetry_space_group_name_H-M 'P m -3 m'
_symmetry_Int_Tables_number 221
_symmetry_space_group_name_Hall '-P 4 2 3'
loop_
_atom_site_label
_atom_site_fract_x
_atom_site_fract_y
_atom_site_fract_z
Cr1 0.000 0.000 0.500
Ir1 0.500 0.500 0.500
Br1 0.000 0.000 0.000



13.
# Cr3IrBr, relaxed, DFT PBEsol
# * M_tot: 10.49 μB per cell
# * crystal system: cubic
# * ΔE to the lowest computed polymorph: 0.00 eV per formula unit
data_Cr3IrBr
_cell_length_a 4.753
_cell_length_b 4.753
_cell_length_c 4.753
_cell_angle_alpha 90.00
_cell_angle_beta 90.00
_cell_angle_gamma 90.00
_symmetry_space_group_name_H-M 'P m -3 m'
_symmetry_Int_Tables_number 221
_symmetry_space_group_name_Hall '-P 4 2 3'
loop_
_atom_site_label
_atom_site_fract_x
_atom_site_fract_y
_atom_site_fract_z
Cr1 0.000 0.000 0.500
Ir1 0.000 0.000 0.000
Br1 0.500 0.500 0.500



14.
# K3CrBr, relaxed, DFT PBEsol
# * M_tot: 5.68 μB per cell
# * crystal system: cubic
data_K3CrBr
_cell_length_a 6.194
_cell_length_b 6.194
_cell_length_c 6.194
_cell_angle_alpha 90.00
_cell_angle_beta 90.00
_cell_angle_gamma 90.00
_symmetry_space_group_name_H-M 'P m -3 m'
_symmetry_Int_Tables_number 221
_symmetry_space_group_name_Hall '-P 4 2 3'
loop_
_atom_site_label
_atom_site_fract_x
_atom_site_fract_y
_atom_site_fract_z
K1 0.000 0.000 0.500
Cr1 0.500 0.500 0.500
Br1 0.000 0.000 0.000



15.
# K2CrBr, relaxed, DFT PBEsol
# * M_tot: 5.05 μB per cell
# * crystal system: tetragonal
data_K2CrBr
_cell_length_a 4.811
_cell_length_b 4.811
_cell_length_c 6.899
_cell_angle_alpha 90.00
_cell_angle_beta 90.00
_cell_angle_gamma 90.00
_symmetry_space_group_name_H-M 'P 4 m m'
_symmetry_Int_Tables_number 99
loop_
_symmetry_equiv_pos_as_xyz
'x,y,z'
'-y,x,z'
'-x,-y,z'
'y,-x,z'
'-x,y,z'
'y,x,z'
'x,-y,z'
'-y,-x,z'
loop_
_atom_site_label
_atom_site_fract_x
_atom_site_fract_y
_atom_site_fract_z
K1 0.000 0.000 0.000
K2 0.500 0.500 0.496
Cr1 0.500 0.500 0.996
Br1 0.000 0.000 0.498



16.
# K2CrBrN, relaxed, DFT PBEsol
# * M_tot: 6.64 μB per cell
# * crystal system: tetragonal
data_K2CrBrN
_cell_length_a 6.149
_cell_length_b 6.149
_cell_length_c 4.934
_cell_angle_alpha 90.00
_cell_angle_beta 90.00
_cell_angle_gamma 90.00
_symmetry_space_group_name_H-M 'P 4/m m m'
_symmetry_Int_Tables_number 123
_symmetry_space_group_name_Hall '-P 4 2'
loop_
_atom_site_label
_atom_site_fract_x
_atom_site_fract_y
_atom_site_fract_z
K1 0.000 0.500 0.000
Cr1 0.000 0.000 0.500
Br1 0.000 0.000 0.000
N1 0.500 0.500 0.500



17.
# LiCr2Br, relaxed, DFT PBEsol
# * M_tot: 0.00 μB per cell
# * crystal system: tetragonal
# * ΔE to the lowest computed polymorph: 1.72 eV per formula unit
data_LiCr2Br
_cell_length_a 3.349
_cell_length_b 3.349
_cell_length_c 20.268
_cell_angle_alpha 90.00
_cell_angle_beta 90.00
_cell_angle_gamma 90.00
_symmetry_space_group_name_H-M 'I -4 2 d'
_symmetry_Int_Tables_number 122
_symmetry_space_group_name_Hall 'I -4 2bw'
loop_
_atom_site_label
_atom_site_fract_x
_atom_site_fract_y
_atom_site_fract_z
Li1 0.000 0.000 0.000
Cr1 0.213 0.250 0.625
Br1 0.000 0.000 0.500



18.
# LiCrBr2, relaxed, DFT PBEsol
# * M_tot: 9.99 μB per cell
# * crystal system: orthorhombic
# * ΔE to the lowest computed polymorph: 0.01 eV per formula unit
data_LiCrBr2
_cell_length_a 3.895
_cell_length_b 6.599
_cell_length_c 7.241
_cell_angle_alpha 90.00
_cell_angle_beta 90.00
_cell_angle_gamma 90.00
_symmetry_space_group_name_H-M 'I m m m'
_symmetry_Int_Tables_number 71
_symmetry_space_group_name_Hall '-I 2 2'
loop_
_atom_site_label
_atom_site_fract_x
_atom_site_fract_y
_atom_site_fract_z
Li1 0.000 0.000 0.000
Cr1 0.000 0.000 0.500
Br1 0.000 0.500 0.251



19.
# LiCr4Br, relaxed, DFT PBEsol
# * M_tot: 0.00 μB per cell
# * crystal system: cubic
data_LiCr4Br
_cell_length_a 6.828
_cell_length_b 6.828
_cell_length_c 6.828
_cell_angle_alpha 90.00
_cell_angle_beta 90.00
_cell_angle_gamma 90.00
_symmetry_space_group_name_H-M 'F -4 3 m'
_symmetry_Int_Tables_number 216
_symmetry_space_group_name_Hall 'F -4 2 3'
loop_
_atom_site_label
_atom_site_fract_x
_atom_site_fract_y
_atom_site_fract_z
Li1 0.000 0.000 0.000
Cr1 0.128 0.128 0.628
Br1 0.250 0.250 0.250



20.
# LiCr2Br, relaxed, DFT PBEsol
# * M_tot: 0.02 μB per cell
# * crystal system: tetragonal
# * ΔE to the lowest computed polymorph: 0.00 eV per formula unit
data_LiCr2Br
_cell_length_a 3.209
_cell_length_b 3.209
_cell_length_c 6.511
_cell_angle_alpha 90.00
_cell_angle_beta 90.00
_cell_angle_gamma 90.00
_symmetry_space_group_name_H-M 'P 4 m m'
_symmetry_Int_Tables_number 99
loop_
_symmetry_equiv_pos_as_xyz
'x,y,z'
'-y,x,z'
'-x,-y,z'
'y,-x,z'
'-x,y,z'
'y,x,z'
'x,-y,z'
'-y,-x,z'
loop_
_atom_site_label
_atom_site_fract_x
_atom_site_fract_y
_atom_site_fract_z
Li1 0.000 0.000 0.000
Cr1 0.000 0.000 0.573
Cr2 0.500 0.500 0.731
Br1 0.500 0.500 0.149



For each record above, in turn, the calculated formation energy (no corrections) values are 0.7908; 0.3822; 0.3222; 0.1111; 0.1438; -0.5418; 1.3968; 0.6005; 0.8518; 0.7960; 0.5018; 1.5784; 1.2116; 0.0271; 0.0687; 0.9205; 0.5741; -0.4733; 0.8630; 0.1435 eV/atom.
For each record above, in turn, the calculated DOS at the Fermi energy values are 0.773; 0.637; 0.449; 0.617; 0.593; 0.173; 0.472; 1.538; 1.247; 1.253; 1.143; 1.744; 0.900; 0.497; 0.111; 0.783; 0.919; 0.122; 1.125; 0.136 states/eV per atom.